Density functional theory data (PBE) for a geometry-optimized NaAcRhPb structure.

Cell lengths 5.182, 5.182, 5.182 Å; angles 60.00, 60.00, 60.00 degrees
Element x y z (fractional)
Na (0.000, 0.000, 0.000)
Ac (0.250, 0.250, 0.250)
Rh (0.500, 0.500, 0.500)
Pb (0.750, 0.750, 0.750)

Energy relative to the elements, eV/atom: -0.232
Space-group type: F-43m (216)
E_tot, eV for the cell shown: -17.42